1.
The following is a PBE calculation of crystalline SrHgIr2 at its relaxed geometry, from Alexandria via LeMat-Bulk.

DOS(E_F) = 2.80 states/eV/cell
Energy = -0.35443 Ry per atom
ΔE_f = 0.10 eV/atom

Lattice parameters (Å, degrees): 3.913 2.968 8.014 68.32 90.00 90.00
Fractional coordinates of all 4 atoms:
Sr 0.000 0.525 0.475
Ir 0.000 0.936 0.063
Ir 0.500 0.324 0.175
Hg 0.500 0.715 0.786

---

2.
The following is a PBE calculation of crystalline YGa2Fe2Ge at its relaxed geometry, from Alexandria via LeMat-Bulk.

DOS(E_F) = 6.30 states/eV/cell
Energy = -0.42598 Ry per atom
ΔE_f = -0.12 eV/atom

Lattice parameters (Å, degrees): 4.392 4.392 5.537 90.00 90.00 90.00
Each line ends with the local moment (μB).
Fractional coordinates of all 6 atoms:
Ga 0.500 0.500 0.259  -0.06
Ga 0.500 0.500 0.741  -0.06
Fe 0.500 0.000 0.000  1.70
Fe 0.000 0.500 0.000  1.70
Y 0.000 0.000 0.500  -0.04
Ge 0.000 0.000 0.000  -0.08

---

3.
The following is a PBE calculation of crystalline CrPtSe2 at its relaxed geometry, from Alexandria via LeMat-Bulk.

DOS(E_F) = 1.65 states/eV/cell
Excess energy over the best structure of this formula in the dataset = 0.4277 eV per atom
E_form (uncorrected) = 0.136 eV per atom
Energy = -0.40589 Ry per atom

Lattice parameters (Å, degrees): 7.934 7.934 7.934 27.58 27.58 27.58
Each line ends with the local moment (μB).
Fractional coordinates of all 4 atoms:
Se 0.891 0.891 0.891  -0.05
Se 0.109 0.109 0.109  -0.05
Pt 0.500 0.500 0.500  -0.05
Cr 0.000 0.000 0.000  3.87